First-principles (PBE) data for a relaxed Y2CuW crystal, as listed in the Alexandria database.

Values from the calculation:
Magnetization, μB/atom: 0.0000
Relative energy among the computed polymorphs, meV per atom: 81
Electronic total energy, eV per atom: -7.143
ΔH_f (0 K), meV/atom: 351.5

Cell: 7.3416 7.3515 3.2177 Å, 90.00 90.22 90.00°
With the nearest neighbours (Å) after each atom.
Space group C2/m (No. 12)
Inequivalent atoms, fractional coordinates:
Y (0.2500, 0.2500, 0.0000)  4 W 3.05-3.06, 4 Cu 3.05-3.06, 2 Y 3.22
Cu (0.0000, 0.0000, 0.5000)  8 Y 3.05-3.06, 2 Cu 3.22
W (0.0000, 0.5000, 0.5000)  8 Y 3.05-3.06, 2 W 3.22



First-principles (PBE) data for a relaxed YCuW2 crystal, as listed in the Alexandria database.

Values from the calculation:
Magnetization, μB/atom: 0.0000
Relative energy among the computed polymorphs, meV per atom: 174
Electronic total energy, eV per atom: -8.666
ΔH_f (0 K), meV/atom: 450.2

Cell: 3.0461 4.6318 10.1537 Å, 90.00 90.00 90.00°
With the nearest neighbours (Å) after each atom.
Space group Immm (No. 71)
Inequivalent atoms, fractional coordinates:
Y (0.0000, 0.0000, 0.0000)  4 Cu 2.77, 2 Y 3.05
Cu (0.0000, 0.0000, 0.5000)  4 Y 2.77, 4 W 2.80, 2 Cu 3.05
W (0.0000, 0.5000, 0.2310)  2 Cu 2.80, 6 W 2.80-3.05, 2 Y 3.13



First-principles (PBE) data for a relaxed YCuW2 crystal, as listed in the Alexandria database.

Values from the calculation:
Magnetization, μB/atom: 0.0000
Relative energy among the computed polymorphs, meV per atom: 252
Electronic total energy, eV per atom: -8.588
ΔH_f (0 K), meV/atom: 528.3

Cell: 2.9796 5.0258 4.9404 Å, 90.00 96.99 90.00°
With the nearest neighbours (Å) after each atom.
Space group P2/m (No. 10)
Inequivalent atoms, fractional coordinates:
Y (0.0000, 0.0000, 0.0000)  4 Cu 2.72-3.04, 2 Y 2.98
Cu (0.5000, 0.0000, 0.5000)  4 Y 2.72-3.04, 4 W 2.83, 2 Cu 2.98
W (0.3694, 0.5000, 0.7429)  2 W 2.56-2.61, 2 Cu 2.83



First-principles (PBE) data for a relaxed YCu3W crystal, as listed in the Alexandria database.

Values from the calculation:
Magnetization, μB/atom: 0.0000
Relative energy among the computed polymorphs, meV per atom: 0
Electronic total energy, eV per atom: -5.499
ΔH_f (0 K), meV/atom: 841.8

Cell: 4.6874 4.6874 4.6874 Å, 90.00 90.00 90.00°
With the nearest neighbours (Å) after each atom.
Space group Pm-3m (No. 221)
Inequivalent atoms, fractional coordinates:
Y (0.0000, 0.0000, 0.0000)  12 Cu 3.31
Cu (0.0000, 0.5000, 0.5000)  2 W 2.34
W (0.5000, 0.5000, 0.5000)  6 Cu 2.34



First-principles (PBE) data for a relaxed Y2CuW crystal, as listed in the Alexandria database.

Values from the calculation:
Magnetization, μB/atom: 0.0001
Relative energy among the computed polymorphs, meV per atom: 340
Electronic total energy, eV per atom: -6.885
ΔH_f (0 K), meV/atom: 609.8

Cell: 9.4124 3.1121 6.0480 Å, 90.00 100.41 90.00°
With the nearest neighbours (Å) after each atom.
Space group C2/m (No. 12)
Inequivalent atoms, fractional coordinates:
Y (0.2449, 0.0000, 0.2499)  3 Cu 2.96-3.06, 3 W 2.98-3.03, 2 Y 3.11
Cu (0.0000, 0.5000, 0.0000)  6 Y 2.96-3.06, 2 Cu 3.11
W (0.0000, 0.0000, 0.5000)  6 Y 2.98-3.03, 2 W 3.11



First-principles (PBE) data for a relaxed Y2CuW crystal, as listed in the Alexandria database.

Values from the calculation:
Magnetization, μB/atom: 0.0000
Relative energy among the computed polymorphs, meV per atom: 34
Electronic total energy, eV per atom: -7.190
ΔH_f (0 K), meV/atom: 304.3

Cell: 3.2296 5.0622 10.6260 Å, 90.00 90.00 90.00°
With the nearest neighbours (Å) after each atom.
Space group Imm2 (No. 44)
Inequivalent atoms, fractional coordinates:
Y (0.0000, 0.0000, 0.0000)  4 W 3.08, 2 Cu 3.10, 4 Y 3.23-3.31
Y (0.0000, 0.5000, 0.2007)  4 Cu 3.05, 4 Y 3.23-3.31, 2 W 3.25
Cu (0.0000, 0.5000, 0.7495)  2 W 2.55
W (0.0000, 0.0000, 0.4355)  2 Cu 2.55